No. 1
The following is a DFT calculation (PBE) of a relaxed structure of Er3Al5O12.

Lattice parameters (Å, degrees): 10.3419 10.3419 10.3419 109.47 109.47 109.47
Fractional positions:
Er: 0.1250 0.2500 0.3750
Er: 0.1250 0.3750 0.7500
Er: 0.2500 0.3750 0.1250
Er: 0.2500 0.8750 0.6250
Er: 0.3750 0.1250 0.2500
Er: 0.3750 0.7500 0.1250
Er: 0.6250 0.2500 0.8750
Er: 0.6250 0.8750 0.7500
Er: 0.7500 0.1250 0.3750
Er: 0.7500 0.6250 0.8750
Er: 0.8750 0.6250 0.2500
Er: 0.8750 0.7500 0.6250
Al: 0.0000 0.0000 0.0000
Al: 0.0000 0.0000 0.5000
Al: 0.0000 0.5000 0.0000
Al: 0.0000 0.5000 0.5000
Al: 0.1250 0.7500 0.8750
Al: 0.1250 0.8750 0.2500
Al: 0.2500 0.1250 0.8750
Al: 0.2500 0.6250 0.3750
Al: 0.3750 0.2500 0.6250
Al: 0.3750 0.6250 0.7500
Al: 0.5000 0.0000 0.0000
Al: 0.5000 0.0000 0.5000
Al: 0.5000 0.5000 0.0000
Al: 0.5000 0.5000 0.5000
Al: 0.6250 0.3750 0.2500
Al: 0.6250 0.7500 0.3750
Al: 0.7500 0.3750 0.6250
Al: 0.7500 0.8750 0.1250
Al: 0.8750 0.1250 0.7500
Al: 0.8750 0.2500 0.1250
O: 0.0222 0.2015 0.1189
O: 0.0222 0.3207 0.9033
O: 0.0826 0.7015 0.6793
O: 0.0826 0.8811 0.4033
O: 0.0967 0.6189 0.4174
O: 0.0967 0.9778 0.6793
O: 0.1189 0.0222 0.2015
O: 0.1189 0.5967 0.9174
O: 0.1793 0.2015 0.5826
O: 0.1793 0.4778 0.5967
O: 0.2015 0.1189 0.0222
O: 0.2015 0.5826 0.1793
O: 0.2985 0.3207 0.9174
O: 0.2985 0.4778 0.3811
O: 0.3207 0.9033 0.0222
O: 0.3207 0.9174 0.2985
O: 0.3811 0.2985 0.4778
O: 0.3811 0.5826 0.9033
O: 0.4033 0.0826 0.8811
O: 0.4033 0.8207 0.5222
O: 0.4174 0.0967 0.6189
O: 0.4174 0.8207 0.7985
O: 0.4778 0.3811 0.2985
O: 0.4778 0.5967 0.1793
O: 0.5222 0.4033 0.8207
O: 0.5222 0.6189 0.7015
O: 0.5826 0.1793 0.2015
O: 0.5826 0.9033 0.3811
O: 0.5967 0.1793 0.4778
O: 0.5967 0.9174 0.1189
O: 0.6189 0.4174 0.0967
O: 0.6189 0.7015 0.5222
O: 0.6793 0.0826 0.7015
O: 0.6793 0.0967 0.9778
O: 0.7015 0.5222 0.6189
O: 0.7015 0.6793 0.0826
O: 0.7985 0.4174 0.8207
O: 0.7985 0.8811 0.9778
O: 0.8207 0.5222 0.4033
O: 0.8207 0.7985 0.4174
O: 0.8811 0.4033 0.0826
O: 0.8811 0.9778 0.7985
O: 0.9033 0.0222 0.3207
O: 0.9033 0.3811 0.5826
O: 0.9174 0.1189 0.5967
O: 0.9174 0.2985 0.3207
O: 0.9778 0.6793 0.0967
O: 0.9778 0.7985 0.8811

Properties
magnetization = 0.012 μB/cell
VASP energy = -0.2898 Ha/atom

No. 2
The following is a DFT calculation (PBE) of a relaxed structure of ErAlOs.

Lattice parameters (Å, degrees): 6.4742 6.4742 6.4742 90.00 90.00 90.00
Fractional positions:
Er: 0.0000 0.0000 0.0000
Er: 0.0000 0.5000 0.5000
Er: 0.5000 0.0000 0.5000
Er: 0.5000 0.5000 0.0000
Al: 0.2500 0.2500 0.7500
Al: 0.2500 0.7500 0.2500
Al: 0.7500 0.2500 0.2500
Al: 0.7500 0.7500 0.7500
Os: 0.2500 0.2500 0.2500
Os: 0.2500 0.7500 0.7500
Os: 0.7500 0.2500 0.7500
Os: 0.7500 0.7500 0.2500

Properties
magnetization = 0.022 μB/cell
VASP energy = -0.2109 Ha/atom

Look up the magnetization of the second one. 0.022 μB/cell

Look up the magnetization of the second one. 0.022 μB/cell